Entry 1:
VASP calculation (PBE-GGA) on a relaxed structure of NdAu3.

Total DFT energy (no corrections)   -34.52 eV for the cell shown
Energy relative to the elements   -674 meV/atom
Volume   168.70 Å³/cell

a = 5.0665 Å, b = 6.3392 Å, c = 5.2526 Å
α = 90.00°, β = 90.00°, γ = 90.00°
Last column: nearest neighbours and their distance in Å.
Positions (direct):
Au: 0.0000 0.0000 0.6800  8 Au 2.96-3.13, 4 Nd 3.09-3.17
Au: 0.5000 0.7433 0.8380  8 Au 2.96-3.25, 4 Nd 3.07-3.11
Au: 0.5000 0.2567 0.8380  8 Au 2.96-3.25, 4 Nd 3.07-3.11
Au: 0.0000 0.2433 0.1620  8 Au 2.96-3.25, 4 Nd 3.07-3.11
Au: 0.5000 0.5000 0.3200  8 Au 2.96-3.13, 4 Nd 3.09-3.17
Au: 0.0000 0.7567 0.1620  8 Au 2.96-3.25, 4 Nd 3.07-3.11
Nd: 0.5000 0.0000 0.3425  12 Au 3.07-3.17
Nd: 0.0000 0.5000 0.6575  12 Au 3.07-3.17

***

Entry 2:
VASP calculation (PBE-GGA) on a relaxed structure of NdInNi.

Total DFT energy (no corrections)   -38.25 eV for the cell shown
Volume   204.95 Å³/cell

a = 8.4857 Å, b = 8.4857 Å, c = 3.2865 Å
α = 90.00°, β = 90.00°, γ = 120.00°
Last column: nearest neighbours and their distance in Å.
Positions (direct):
In: 0.6667 0.3333 0.0000  3 Nd 2.96, 6 Ni 3.08, 2 In 3.29
In: 0.0000 0.0000 0.5000  6 Nd 3.06, 2 In 3.29, 3 Ni 3.36
In: 0.3333 0.6667 0.0000  3 Nd 2.96, 6 Ni 3.08, 2 In 3.29
Ni: 0.0000 0.6037 0.5000  2 Nd 3.03, 5 In 3.08-3.36, 2 Ni 3.29
Ni: 0.3963 0.3963 0.5000  2 Nd 3.03, 5 In 3.08-3.36, 2 Ni 3.29
Ni: 0.6037 0.0000 0.5000  2 Nd 3.03, 5 In 3.08-3.36, 2 Ni 3.29
Nd: 0.6961 0.6961 0.0000  4 In 2.96-3.06, 2 Ni 3.03, 2 Nd 3.29
Nd: 0.0000 0.3039 0.0000  4 In 2.96-3.06, 2 Ni 3.03, 2 Nd 3.29
Nd: 0.3039 0.0000 0.0000  4 In 2.96-3.06, 2 Ni 3.03, 2 Nd 3.29

***

Entry 3:
VASP calculation (PBE-GGA) on a relaxed structure of Sc2AlGaPt4.

Energy relative to the lowest polymorph listed for this composition   0.000 eV/atom
Total DFT energy (no corrections)   -52.45 eV for the cell shown
Volume   139.06 Å³/cell

a = 4.2826 Å, b = 4.2826 Å, c = 8.7550 Å
α = 90.00°, β = 90.00°, γ = 120.00°
Last column: nearest neighbours and their distance in Å.
Positions (direct):
Pt: 0.3333 0.6667 0.0904  3 Ga 2.60, 1 Pt 2.81, 3 Sc 2.84
Pt: 0.3333 0.6667 0.4112  3 Al 2.59, 1 Pt 2.81, 3 Sc 2.85
Pt: 0.6667 0.3333 0.5888  3 Al 2.59, 1 Pt 2.81, 3 Sc 2.85
Pt: 0.6667 0.3333 0.9096  3 Ga 2.60, 1 Pt 2.81, 3 Sc 2.84
Ga: 0.0000 0.0000 0.0000  6 Pt 2.60
Sc: 0.3333 0.6667 0.7505  8 Pt 2.84-2.98
Sc: 0.6667 0.3333 0.2495  8 Pt 2.84-2.98
Al: 0.0000 0.0000 0.5000  6 Pt 2.59

***

Entry 4:
VASP calculation (PBE-GGA) on a relaxed structure of BeFeSbW.

Total DFT energy (no corrections)   -26.82 eV for the cell shown
Volume   56.17 Å³/cell

a = 4.2988 Å, b = 4.2988 Å, c = 4.2988 Å
α = 60.00°, β = 60.00°, γ = 60.00°
Last column: nearest neighbours and their distance in Å.
Positions (direct):
Be: 0.2500 0.2500 0.2500  4 W 2.63, 4 Sb 2.63
W: 0.5000 0.5000 0.5000  4 Be 2.63, 4 Fe 2.63
Fe: 0.7500 0.7500 0.7500  4 Sb 2.63, 4 W 2.63
Sb: 0.0000 0.0000 0.0000  4 Fe 2.63, 4 Be 2.63

***

Entry 5:
VASP calculation (PBE-GGA) on a relaxed structure of NiSn.

Total DFT energy (no corrections)   -9.55 eV for the cell shown
Volume   33.44 Å³/cell

a = 3.1854 Å, b = 3.1854 Å, c = 3.8056 Å
α = 90.00°, β = 90.00°, γ = 120.00°
Last column: nearest neighbours and their distance in Å.
Positions (direct):
Sn: 0.3333 0.6667 0.2500  6 Ni 2.65
Ni: 0.6667 0.3333 0.7500  6 Sn 2.65

***

Entry 6:
VASP calculation (PBE-GGA) on a relaxed structure of Na4TlHg3.

Total DFT energy (no corrections)   -10.14 eV for the cell shown
Volume   199.17 Å³/cell

a = 5.1966 Å, b = 5.1966 Å, c = 7.3751 Å
α = 90.00°, β = 90.00°, γ = 90.00°
Last column: nearest neighbours and their distance in Å.
Positions (direct):
Hg: 0.0000 0.5000 0.7477  2 Hg 3.18, 4 Na 3.18-3.20, 2 Tl 3.20
Hg: 0.5000 0.5000 0.5000  4 Na 3.15, 4 Hg 3.18
Hg: 0.5000 0.0000 0.2523  2 Hg 3.18, 4 Na 3.18-3.20, 2 Tl 3.20
Na: 0.5000 0.0000 0.7417  2 Hg 3.15, 4 Na 3.15-3.22, 2 Tl 3.22
Na: 0.0000 0.0000 0.5000  4 Na 3.15, 4 Hg 3.18
Na: 0.5000 0.5000 0.0000  4 Hg 3.20, 4 Na 3.22
Na: 0.0000 0.5000 0.2583  2 Hg 3.15, 4 Na 3.15-3.22, 2 Tl 3.22
Tl: 0.0000 0.0000 0.0000  4 Hg 3.20, 4 Na 3.22

***

Entry 7:
VASP calculation (PBE-GGA) on a relaxed structure of NaCuTeOsSe2.

Total DFT energy (no corrections)   -54.96 eV for the cell shown
Volume   259.92 Å³/cell

a = 7.2313 Å, b = 7.2313 Å, c = 9.8557 Å
α = 90.00°, β = 90.00°, γ = 149.71°
Last column: nearest neighbours and their distance in Å.
Positions (direct):
Cu: 0.0405 0.9595 0.7500  2 Se 2.35, 2 Te 2.62
Cu: 0.9595 0.0405 0.2500  2 Se 2.35, 2 Te 2.62
Te: 0.5893 0.4107 0.2500  2 Cu 2.62, 2 Os 2.76
Te: 0.4107 0.5893 0.7500  2 Cu 2.62, 2 Os 2.76
Os: 0.5000 0.5000 0.5000  4 Se 2.55, 2 Te 2.76
Os: 0.5000 0.5000 0.0000  4 Se 2.55, 2 Te 2.76
Se: 0.1190 0.8810 0.9606  1 Cu 2.35, 2 Os 2.55
Se: 0.1190 0.8810 0.5394  1 Cu 2.35, 2 Os 2.55
Se: 0.8810 0.1190 0.4606  1 Cu 2.35, 2 Os 2.55
Se: 0.8810 0.1190 0.0394  1 Cu 2.35, 2 Os 2.55
Na: 0.7197 0.2803 0.7500  2 Cu 3.14, 4 Se 3.14, 2 Te 3.27
Na: 0.2803 0.7197 0.2500  2 Cu 3.14, 4 Se 3.14, 2 Te 3.27

***

Entry 8:
VASP calculation (PBE-GGA) on a relaxed structure of LaNd2Cu4Sn4.

Total DFT energy (no corrections)   -51.19 eV for the cell shown
Volume   245.79 Å³/cell

a = 8.6521 Å, b = 8.6521 Å, c = 8.6521 Å
α = 149.20°, β = 131.69°, γ = 58.40°
Last column: nearest neighbours and their distance in Å.
Positions (direct):
Nd: 0.6330 0.1330 0.5000  6 Sn 3.22-3.36, 6 Cu 3.25-3.27
Nd: 0.3670 0.8670 0.5000  6 Sn 3.22-3.36, 6 Cu 3.25-3.27
Sn: 0.7828 0.7828 0.0000  6 Cu 2.74-2.83
Sn: 0.2172 0.2172 0.0000  6 Cu 2.74-2.83
Sn: 0.3020 0.5000 0.8020  2 Cu 2.67, 1 Sn 2.80
Sn: 0.6980 0.5000 0.1980  2 Cu 2.67, 1 Sn 2.80
Cu: 0.6480 0.3319 0.3161  1 Cu 2.60, 4 Sn 2.67-2.83
Cu: 0.9842 0.6681 0.3161  1 Cu 2.60, 4 Sn 2.67-2.83
Cu: 0.3520 0.6681 0.6839  1 Cu 2.60, 4 Sn 2.67-2.83
Cu: 0.0158 0.3319 0.6839  1 Cu 2.60, 4 Sn 2.67-2.83
La: 0.0000 0.0000 0.0000  6 Sn 3.14-3.28